No. 1
ErTm3Mg8 | PBE | optimized geometry

The calculation puts the energy of formation from the pure elements at -0.055 eV/atom.

a b c (Å): 6.0247 6.0247 9.6920
angles (deg): 90.00 90.00 120.00
Space group P3m1 (No. 156)
Unique sites:
Er  0.0000  0.0000  0.0000 x1
Tm  0.0000  0.0000  0.3727 x1
Tm  0.6667  0.3333  0.4998 x1
Tm  0.6667  0.3333  0.8723 x1
Mg  0.1625  0.3249  0.6861 x3
Mg  0.3333  0.6667  0.4363 x1
Mg  0.3333  0.6667  0.9362 x1
Mg  0.5042  0.0085  0.1864 x3



No. 2
CaPrNdCd | PBE | optimized geometry

The calculation puts the energy of formation from the pure elements at -0.058 eV/atom. The value obtained for the polymorph energy (0 for the lowest one) is 90 meV/atom.

a b c (Å): 8.005 8.005 8.005
angles (deg): 90.00 90.00 90.00
Space group F-43m (No. 216)
Unique sites:
Ca  0.000  0.000  0.000 x4
Pr  0.250  0.250  0.750 x4
Nd  0.250  0.250  0.250 x4
Cd  0.000  0.000  0.500 x4



No. 3
K2ZnSb | PBE | optimized geometry

The formation energy from raw total energies comes out at -0.044 eV/atom. The value obtained for the polymorph energy (0 for the lowest one) is 198 meV/atom.

a b c (Å): 3.998 3.998 10.028
angles (deg): 90.00 90.00 90.00
Space group P4mm (No. 99)
Unique sites:
K  0.000  0.000  0.000 x1
K  0.500  0.500  0.394 x1
Zn  0.500  0.500  0.715 x1
Sb  0.000  0.000  0.658 x1



No. 4
ThCoSnPd | PBE | optimized geometry

The calculation puts the energy of formation from the pure elements at -0.441 eV/atom.

a b c (Å): 6.845 6.845 6.845
angles (deg): 90.00 90.00 90.00
Space group F-43m (No. 216)
Unique sites:
Th  0.000  0.000  0.000 x4
Co  0.250  0.250  0.750 x4
Sn  0.000  0.000  0.500 x4
Pd  0.250  0.250  0.250 x4



No. 5
Ti8TeN2 | PBE | optimized geometry

The formation energy from raw total energies comes out at -0.362 eV/atom.

a b c (Å): 11.558 5.607 5.920
angles (deg): 90.00 103.19 90.00
Space group C2/m (No. 12)
Unique sites:
Ti  0.093  0.238  0.190 x8
Ti  0.123  0.000  0.692 x4
Ti  0.196  0.500  0.846 x4
Te  0.000  0.500  0.500 x2
N  0.209  0.500  0.174 x4



No. 6
TaReHg2Ru | PBE | optimized geometry

The calculation puts the energy of formation from the pure elements at 2.108 eV/atom.

a b c (Å): 5.285 5.285 4.611
angles (deg): 90.00 90.00 90.00
Space group P4/mmm (No. 123)
Unique sites:
Ta  0.000  0.000  0.000 x1
Re  0.500  0.500  0.500 x1
Hg  0.000  0.500  0.000 x2
Ru  0.000  0.000  0.500 x1



Sequential total DFT energy (no corrections) output: -2.62; -3.17; -1.94; -6.37; -7.90; -4.73 eV per atom